Record 1
The following is a DFT calculation (PBE) of a relaxed NdSmCoPd crystal. Values from VASP.

Output
- DFT formation energy (eV/atom) = -0.346
- space-group type = F-43m, No. 216
- total moment (μB/f.u.) = 0.33

Geometry as Quantum ESPRESSO input:
```
&SYSTEM
  ibrav = 0, nat = 4, ntyp = 4
/
ATOMIC_SPECIES
Pd 106.42 Pd.upf
Sm 150.36 Sm.upf
Co 58.93 Co.upf
Nd 144.24 Nd.upf
ATOMIC_POSITIONS angstrom
Pd 0.000 0.000 0.000
Sm 2.494 1.440 1.018
Co 4.987 2.879 2.036
Nd 7.481 4.319 3.054
CELL_PARAMETERS angstrom
4.987 0.000 0.000
2.494 4.319 0.000
2.494 1.440 4.072
```



Record 2
The following is a DFT calculation (PBE) of a relaxed TbNdCoPd crystal. Values from VASP.

Output
- DFT formation energy (eV/atom) = -0.383
- space-group type = F-43m, No. 216
- total moment (μB/f.u.) = 0.31

Geometry as Quantum ESPRESSO input:
```
&SYSTEM
  ibrav = 0, nat = 4, ntyp = 4
/
ATOMIC_SPECIES
Pd 106.42 Pd.upf
Tb 158.93 Tb.upf
Co 58.93 Co.upf
Nd 144.24 Nd.upf
ATOMIC_POSITIONS angstrom
Pd 0.000 0.000 0.000
Tb -2.313 1.272 1.487
Co -4.626 2.544 2.974
Nd -6.939 3.816 4.461
CELL_PARAMETERS angstrom
-1.257 3.401 3.366
-4.220 2.534 -0.501
-3.776 -0.848 3.083
```



Record 3
The following is a DFT calculation (PBE) of a relaxed NdThCoPd crystal. Values from VASP.

Output
- DFT formation energy (eV/atom) = -0.499
- space-group type = Amm2, No. 38
- total moment (μB/f.u.) = 0.00

Geometry as Quantum ESPRESSO input:
```
&SYSTEM
  ibrav = 0, nat = 4, ntyp = 4
/
ATOMIC_SPECIES
Th 232.04 Th.upf
Nd 144.24 Nd.upf
Co 58.93 Co.upf
Pd 106.42 Pd.upf
ATOMIC_POSITIONS angstrom
Th 1.939 2.018 4.349
Nd 0.000 0.000 1.760
Co 0.000 0.000 4.683
Pd 1.939 2.018 0.904
CELL_PARAMETERS angstrom
3.878 0.000 0.000
0.000 4.036 0.000
-1.939 0.000 5.848
```



Record 4
The following is a DFT calculation (PBE) of a relaxed NdThCoPd crystal. Values from VASP.

Output
- DFT formation energy (eV/atom) = -0.320
- space-group type = F-43m, No. 216
- total moment (μB/f.u.) = 0.27

Geometry as Quantum ESPRESSO input:
```
&SYSTEM
  ibrav = 0, nat = 4, ntyp = 4
/
ATOMIC_SPECIES
Co 58.93 Co.upf
Pd 106.42 Pd.upf
Th 232.04 Th.upf
Nd 144.24 Nd.upf
ATOMIC_POSITIONS angstrom
Co -2.643 0.730 -1.395
Pd -7.929 2.190 -4.185
Th -5.286 1.460 -2.790
Nd 0.000 0.000 0.000
CELL_PARAMETERS angstrom
-2.286 0.519 -4.443
-4.852 -1.208 -0.484
-3.434 3.609 -0.652
```



Record 5
The following is a DFT calculation (PBE) of a relaxed NdTmCoPd crystal. Values from VASP.

Output
- DFT formation energy (eV/atom) = -0.415
- space-group type = F-43m, No. 216
- total moment (μB/f.u.) = 0.26

Geometry as Quantum ESPRESSO input:
```
&SYSTEM
  ibrav = 0, nat = 4, ntyp = 4
/
ATOMIC_SPECIES
Nd 144.24 Nd.upf
Pd 106.42 Pd.upf
Co 58.93 Co.upf
Tm 168.93 Tm.upf
ATOMIC_POSITIONS angstrom
Nd -0.437 -2.892 0.683
Pd -0.875 -5.785 1.366
Co 0.000 0.000 0.000
Tm -1.312 -8.677 2.049
CELL_PARAMETERS angstrom
-2.840 -3.148 2.467
-0.892 -4.459 -1.839
1.983 -3.963 2.104
```



Record 6
The following is a DFT calculation (PBE) of a relaxed PmNd2Co6 crystal. Values from VASP.

Output
- DFT formation energy (eV/atom) = -0.082
- space-group type = P6/mmm, No. 191
- total moment (μB/f.u.) = 4.60

Geometry as Quantum ESPRESSO input:
```
&SYSTEM
  ibrav = 0, nat = 9, ntyp = 3
/
ATOMIC_SPECIES
Co 58.93 Co.upf
Pm 145.00 Pm.upf
Nd 144.24 Nd.upf
ATOMIC_POSITIONS angstrom
Co 2.107 0.000 2.246
Co 2.107 1.945 1.123
Co 2.107 1.945 -1.123
Co 2.107 3.898 4.497
Co 2.107 3.898 2.251
Co 2.107 0.000 4.501
Pm 0.000 0.000 0.000
Nd 4.214 3.895 0.000
Nd 0.000 1.948 3.374
CELL_PARAMETERS angstrom
4.214 0.000 0.000
0.000 5.843 -3.374
0.000 0.000 6.747
```



What is the total moment in the fifth record? 0.26 μB/f.u.



Which formula does entry 1 have? NdSmCoPd



Which value of total moment does entry 3 give? 0.00 μB/f.u.